Arrangement i

VASP calculation (PBE) on a relaxed structure of LaCr2Pt.

Cell lengths 4.253, 4.253, 18.903 Å; angles 90.00, 90.00, 90.00 degrees
Space group I4_1/amd (No. 141, origin choice 2)
Inequivalent atoms, fractional coordinates:
La  0.000  0.250  0.375 (multiplicity 4)
Cr  0.000  0.000  0.000 (multiplicity 8)
Pt  0.000  0.250  0.875 (multiplicity 4)

Output
The value obtained for the size of the total moment is 0.0 μB per cell.

***

Arrangement ii

VASP calculation (PBE) on a relaxed structure of LaCr2Pt.

Cell lengths 2.9821, 2.9821, 27.4652 Å; angles 90.00, 90.00, 120.00 degrees
Space group R3m (No. 160, hexagonal axes)
Inequivalent atoms, fractional coordinates:
La  0.0000  0.0000  0.0000 (multiplicity 3)
Cr  0.0000  0.0000  0.4919 (multiplicity 3)
Cr  0.0000  0.0000  0.7702 (multiplicity 3)
Pt  0.0000  0.0000  0.2350 (multiplicity 3)

Output
The value obtained for the size of the total moment is 4.1 μB per cell.

***

Energies, relative to the best one, in meV/atom: arrangement i 0; arrangement ii 88.

***

Arrangement i

VASP calculation (PBE) on a relaxed structure of LaCrPt.

Cell lengths 3.587, 3.622, 10.250 Å; angles 90.00, 90.00, 90.00 degrees
Space group Imm2 (No. 44)
Inequivalent atoms, fractional coordinates:
La  0.000  0.000  0.000 (multiplicity 2)
Cr  0.000  0.000  0.287 (multiplicity 2)
Pt  0.000  0.000  0.685 (multiplicity 2)

Output
The value obtained for the size of the total moment is 8.6 μB per cell.

***

Arrangement ii

VASP calculation (PBE) on a relaxed structure of LaCrPt.

Cell lengths 4.3771, 4.3771, 4.1713 Å; angles 90.00, 90.00, 120.00 degrees
Space group P-6m2 (No. 187)
Inequivalent atoms, fractional coordinates:
La  0.0000  0.0000  0.0000 (multiplicity 1)
Cr  0.6667  0.3333  0.5000 (multiplicity 1)
Pt  0.3333  0.6667  0.5000 (multiplicity 1)

Output
The value obtained for the size of the total moment is 3.1 μB per cell.

***

Arrangement iii

VASP calculation (PBE) on a relaxed structure of LaCrPt.

Cell lengths 6.846, 6.846, 6.846 Å; angles 90.00, 90.00, 90.00 degrees
Space group F-43m (No. 216)
Inequivalent atoms, fractional coordinates:
La  0.000  0.000  0.000 (multiplicity 4)
Cr  0.250  0.250  0.750 (multiplicity 4)
Pt  0.250  0.250  0.250 (multiplicity 4)

Output
The value obtained for the size of the total moment is 19.5 μB per cell.

***

Arrangement iv

VASP calculation (PBE) on a relaxed structure of LaCrPt.

Cell lengths 6.769, 6.769, 6.769 Å; angles 90.00, 90.00, 90.00 degrees
Space group F-43m (No. 216)
Inequivalent atoms, fractional coordinates:
La  0.000  0.000  0.000 (multiplicity 4)
Cr  0.000  0.000  0.500 (multiplicity 4)
Pt  0.250  0.250  0.250 (multiplicity 4)

Output
The value obtained for the size of the total moment is 18.6 μB per cell.

***

Energies, relative to the best one, in meV/atom: arrangement i 213; arrangement ii 0; arrangement iii 722; arrangement iv 157.

***

Arrangement i

VASP calculation (PBE) on a relaxed structure of LaCr2Pt2.

Cell lengths 4.539, 4.539, 9.060 Å; angles 90.00, 90.00, 90.00 degrees
Space group I4/mmm (No. 139)
Inequivalent atoms, fractional coordinates:
La  0.000  0.000  0.000 (multiplicity 2)
Cr  0.000  0.000  0.400 (multiplicity 4)
Pt  0.000  0.500  0.250 (multiplicity 4)

Output
The value obtained for the size of the total moment is 0.0 μB per cell.

***

Arrangement ii

VASP calculation (PBE) on a relaxed structure of LaCr2Pt2.

Cell lengths 3.843, 3.843, 12.430 Å; angles 90.00, 90.00, 90.00 degrees
Space group I4/mmm (No. 139)
Inequivalent atoms, fractional coordinates:
La  0.000  0.000  0.000 (multiplicity 2)
Cr  0.000  0.500  0.250 (multiplicity 4)
Pt  0.000  0.000  0.388 (multiplicity 4)

Output
The value obtained for the size of the total moment is 0.0 μB per cell.

***

Energies, relative to the best one, in meV/atom: arrangement i 0; arrangement ii 79.

***

Arrangement i

VASP calculation (PBE) on a relaxed structure of RbLa3Cr.

Cell lengths 5.713, 5.713, 5.713 Å; angles 90.00, 90.00, 90.00 degrees
Space group Pm-3m (No. 221)
Inequivalent atoms, fractional coordinates:
Rb  0.000  0.000  0.000 (multiplicity 1)
La  0.000  0.000  0.500 (multiplicity 3)
Cr  0.500  0.500  0.500 (multiplicity 1)

Output
The value obtained for the size of the total moment is 4.4 μB per cell.

***

Arrangement ii

VASP calculation (PBE) on a relaxed structure of RbLa3Cr.

Cell lengths 5.753, 5.753, 5.753 Å; angles 90.00, 90.00, 90.00 degrees
Space group Pm-3m (No. 221)
Inequivalent atoms, fractional coordinates:
Rb  0.000  0.000  0.000 (multiplicity 1)
La  0.000  0.500  0.500 (multiplicity 3)
Cr  0.500  0.500  0.500 (multiplicity 1)

Output
The value obtained for the size of the total moment is 1.9 μB per cell.

***

Energies, relative to the best one, in meV/atom: arrangement i 943; arrangement ii 0.

***

Arrangement i

VASP calculation (PBE) on a relaxed structure of RbLaCr3.

Cell lengths 5.484, 5.484, 5.484 Å; angles 90.00, 90.00, 90.00 degrees
Space group Pm-3m (No. 221)
Inequivalent atoms, fractional coordinates:
Rb  0.000  0.000  0.000 (multiplicity 1)
La  0.500  0.500  0.500 (multiplicity 1)
Cr  0.000  0.000  0.500 (multiplicity 3)

Output
The value obtained for the size of the total moment is 14.3 μB per cell.

***

Arrangement ii

VASP calculation (PBE) on a relaxed structure of RbLaCr3.

Cell lengths 4.815, 4.815, 4.815 Å; angles 90.00, 90.00, 90.00 degrees
Space group Pm-3m (No. 221)
Inequivalent atoms, fractional coordinates:
Rb  0.000  0.000  0.000 (multiplicity 1)
La  0.500  0.500  0.500 (multiplicity 1)
Cr  0.000  0.500  0.500 (multiplicity 3)

Output
The value obtained for the size of the total moment is 0.0 μB per cell.

***

Energies, relative to the best one, in meV/atom: arrangement i 0; arrangement ii 355.

***

Arrangement i

VASP calculation (PBE) on a relaxed structure of LaCrRe3.

Cell lengths 4.728, 4.728, 4.728 Å; angles 90.00, 90.00, 90.00 degrees
Space group Pm-3m (No. 221)
Inequivalent atoms, fractional coordinates:
La  0.000  0.000  0.000 (multiplicity 1)
Cr  0.500  0.500  0.500 (multiplicity 1)
Re  0.000  0.000  0.500 (multiplicity 3)

Output
The value obtained for the size of the total moment is 0.0 μB per cell.

***

Arrangement ii

VASP calculation (PBE) on a relaxed structure of LaCrRe3.

Cell lengths 4.604, 4.604, 4.604 Å; angles 90.00, 90.00, 90.00 degrees
Space group Pm-3m (No. 221)
Inequivalent atoms, fractional coordinates:
La  0.000  0.000  0.000 (multiplicity 1)
Cr  0.500  0.500  0.500 (multiplicity 1)
Re  0.000  0.500  0.500 (multiplicity 3)

Output
The value obtained for the size of the total moment is 0.8 μB per cell.

***

Energies, relative to the best one, in meV/atom: arrangement i 2326; arrangement ii 0.

***

Arrangement i

VASP calculation (PBE) on a relaxed structure of La2CrRe.

Cell lengths 3.183, 3.909, 8.134 Å; angles 90.00, 96.64, 90.00 degrees
Space group Pm (No. 6)
Inequivalent atoms, fractional coordinates:
La  0.000  0.000  0.000 (multiplicity 1)
La  0.259  0.500  0.581 (multiplicity 1)
Cr  0.814  0.000  0.338 (multiplicity 1)
Re  0.459  0.500  0.243 (multiplicity 1)

Output
The value obtained for the size of the total moment is 0.0 μB per cell.

***

Arrangement ii

VASP calculation (PBE) on a relaxed structure of La2CrRe.

Cell lengths 7.292, 7.292, 7.292 Å; angles 90.00, 90.00, 90.00 degrees
Space group Fm-3m (No. 225)
Inequivalent atoms, fractional coordinates:
La  0.250  0.250  0.250 (multiplicity 8)
Cr  0.000  0.000  0.000 (multiplicity 4)
Re  0.000  0.000  0.500 (multiplicity 4)

Output
The value obtained for the size of the total moment is 18.7 μB per cell.

***

Arrangement iii

VASP calculation (PBE) on a relaxed structure of La2CrRe.

Cell lengths 3.501, 4.893, 11.402 Å; angles 90.00, 90.00, 90.00 degrees
Space group Imm2 (No. 44)
Inequivalent atoms, fractional coordinates:
La  0.000  0.000  0.000 (multiplicity 2)
La  0.000  0.500  0.215 (multiplicity 2)
Cr  0.000  0.500  0.793 (multiplicity 2)
Re  0.000  0.000  0.425 (multiplicity 2)

Output
The value obtained for the size of the total moment is 0.3 μB per cell.

***

Energies, relative to the best one, in meV/atom: arrangement i 21; arrangement ii 175; arrangement iii 0.

***

Arrangement i

VASP calculation (PBE) on a relaxed structure of LaCr3Re.

Cell lengths 4.393, 4.393, 4.393 Å; angles 90.00, 90.00, 90.00 degrees
Space group Pm-3m (No. 221)
Inequivalent atoms, fractional coordinates:
La  0.000  0.000  0.000 (multiplicity 1)
Cr  0.000  0.000  0.500 (multiplicity 3)
Re  0.500  0.500  0.500 (multiplicity 1)

Output
The value obtained for the size of the total moment is 0.0 μB per cell.

***

Arrangement ii

VASP calculation (PBE) on a relaxed structure of LaCr3Re.

Cell lengths 4.732, 4.732, 4.732 Å; angles 90.00, 90.00, 90.00 degrees
Space group Pm-3m (No. 221)
Inequivalent atoms, fractional coordinates:
La  0.000  0.000  0.000 (multiplicity 1)
Cr  0.000  0.500  0.500 (multiplicity 3)
Re  0.500  0.500  0.500 (multiplicity 1)

Output
The value obtained for the size of the total moment is 7.3 μB per cell.

***

Energies, relative to the best one, in meV/atom: arrangement i 1510; arrangement ii 0.

***

Arrangement i

VASP calculation (PBE) on a relaxed structure of LaCrRe.

Cell lengths 6.263, 6.263, 6.263 Å; angles 90.00, 90.00, 90.00 degrees
Space group F-43m (No. 216)
Inequivalent atoms, fractional coordinates:
La  0.000  0.000  0.000 (multiplicity 4)
Cr  0.250  0.250  0.750 (multiplicity 4)
Re  0.000  0.000  0.500 (multiplicity 4)

Output
The value obtained for the size of the total moment is 0.0 μB per cell.

***

Arrangement ii

VASP calculation (PBE) on a relaxed structure of LaCrRe.

Cell lengths 3.110, 3.110, 11.966 Å; angles 90.00, 90.00, 90.00 degrees
Space group I4mm (No. 107)
Inequivalent atoms, fractional coordinates:
La  0.000  0.000  0.000 (multiplicity 2)
Cr  0.000  0.000  0.702 (multiplicity 2)
Re  0.000  0.000  0.296 (multiplicity 2)

Output
The value obtained for the size of the total moment is 0.0 μB per cell.

***

Energies, relative to the best one, in meV/atom: arrangement i 528; arrangement ii 0.

***

Arrangement i

VASP calculation (PBE) on a relaxed structure of La2CrRh.

Cell lengths 7.135, 7.135, 7.135 Å; angles 90.00, 90.00, 90.00 degrees
Space group Fm-3m (No. 225)
Inequivalent atoms, fractional coordinates:
La  0.250  0.250  0.250 (multiplicity 8)
Cr  0.000  0.000  0.000 (multiplicity 4)
Rh  0.000  0.000  0.500 (multiplicity 4)

Output
The value obtained for the size of the total moment is 0.0 μB per cell.

***

Arrangement ii

VASP calculation (PBE) on a relaxed structure of La2CrRh.

Cell lengths 7.108, 7.108, 7.108 Å; angles 90.00, 90.00, 90.00 degrees
Space group F-43m (No. 216)
Inequivalent atoms, fractional coordinates:
La  0.000  0.000  0.000 (multiplicity 4)
La  0.250  0.250  0.250 (multiplicity 4)
Cr  0.250  0.250  0.750 (multiplicity 4)
Rh  0.000  0.000  0.500 (multiplicity 4)

Output
The value obtained for the size of the total moment is 19.4 μB per cell.

***

Arrangement iii

VASP calculation (PBE) on a relaxed structure of La2CrRh.

Cell lengths 3.550, 3.550, 8.060 Å; angles 90.00, 90.00, 90.00 degrees
Space group P4mm (No. 99)
Inequivalent atoms, fractional coordinates:
La  0.000  0.000  0.000 (multiplicity 1)
La  0.500  0.500  0.393 (multiplicity 1)
Cr  0.500  0.500  0.748 (multiplicity 1)
Rh  0.000  0.000  0.624 (multiplicity 1)

Output
The value obtained for the size of the total moment is 3.4 μB per cell.

***

Arrangement iv

VASP calculation (PBE) on a relaxed structure of La2CrRh.

Cell lengths 4.0896, 4.0896, 23.9398 Å; angles 90.00, 90.00, 120.00 degrees
Space group R-3m (No. 166, hexagonal axes)
Inequivalent atoms, fractional coordinates:
La  0.0000  0.0000  0.2354 (multiplicity 6)
Cr  0.0000  0.0000  0.0000 (multiplicity 3)
Rh  0.0000  0.0000  0.5000 (multiplicity 3)

Output
The value obtained for the size of the total moment is 14.3 μB per cell.

***

Energies, relative to the best one, in meV/atom: arrangement i 189; arrangement ii 11; arrangement iii 46; arrangement iv 0.

***

Arrangement i

VASP calculation (PBE) on a relaxed structure of La2CrRh.

Cell lengths 3.992, 4.283, 11.970 Å; angles 90.00, 90.00, 90.00 degrees
Space group Amm2 (No. 38)
Inequivalent atoms, fractional coordinates:
La  0.000  0.000  0.000 (multiplicity 2)
La  0.500  0.000  0.283 (multiplicity 2)
Cr  0.500  0.000  0.583 (multiplicity 2)
Rh  0.000  0.000  0.729 (multiplicity 2)

Output
The value obtained for the size of the total moment is 7.0 μB per cell.

***

Arrangement ii

VASP calculation (PBE) on a relaxed structure of La2CrRh.

Cell lengths 7.621, 7.621, 6.352 Å; angles 90.00, 90.00, 90.00 degrees
Space group I-42d (No. 122)
Inequivalent atoms, fractional coordinates:
La  0.245  0.250  0.125 (multiplicity 8)
Cr  0.000  0.000  0.500 (multiplicity 4)
Rh  0.000  0.000  0.000 (multiplicity 4)

Output
The value obtained for the size of the total moment is 0.0 μB per cell.

***

Energies, relative to the best one, in meV/atom: arrangement i 0; arrangement ii 560.

***

Arrangement i

VASP calculation (PBE) on a relaxed structure of La2CrRh.

Cell lengths 3.681, 3.695, 7.229 Å; angles 90.00, 90.00, 90.00 degrees
Space group Pmmm (No. 47)
Inequivalent atoms, fractional coordinates:
La  0.000  0.000  0.234 (multiplicity 2)
Cr  0.500  0.500  0.500 (multiplicity 1)
Rh  0.500  0.500  0.000 (multiplicity 1)

Output
The value obtained for the size of the total moment is 3.6 μB per cell.

***

Arrangement ii

VASP calculation (PBE) on a relaxed structure of La2CrRh.

Cell lengths 3.640, 4.582, 11.783 Å; angles 90.00, 90.00, 90.00 degrees
Space group Imm2 (No. 44)
Inequivalent atoms, fractional coordinates:
La  0.000  0.000  0.000 (multiplicity 2)
La  0.000  0.500  0.217 (multiplicity 2)
Cr  0.000  0.000  0.419 (multiplicity 2)
Rh  0.000  0.500  0.763 (multiplicity 2)

Output
The value obtained for the size of the total moment is 6.4 μB per cell.

***

Energies, relative to the best one, in meV/atom: arrangement i 0; arrangement ii 10.